A plane-wave DFT calculation with GGA-PBE was carried out for a relaxed structure of TaRu2Cl.

Calculated values
Its energy above the most stable polymorph in this dataset is 32.3 kJ/mol of atoms.

Lattice parameters (Å, degrees): 2.894 2.894 8.962 90.00 90.00 119.95
Fractional coordinates of all 4 atoms:
Ta 0.000 0.000 0.000
Ru 0.000 0.000 0.493
Ru 0.500 0.500 0.254
Cl 0.500 0.500 0.763



A plane-wave DFT calculation with GGA-PBE was carried out for a relaxed structure of TaRu2Cl.

Calculated values
Its energy above the most stable polymorph in this dataset is 46.7 kJ/mol of atoms.

Lattice parameters (Å, degrees): 4.556 4.556 3.030 90.00 90.00 96.77
Fractional coordinates of all 4 atoms:
Ta 0.000 0.000 0.000
Ru 0.000 0.500 0.500
Ru 0.500 0.000 0.500
Cl 0.500 0.500 0.000



A plane-wave DFT calculation with GGA-PBE was carried out for a relaxed structure of TaRu2Cl.

Calculated values
Its energy above the most stable polymorph in this dataset is 15.9 kJ/mol of atoms.

Lattice parameters (Å, degrees): 2.968 2.968 8.292 90.00 90.00 115.09
Fractional coordinates of all 4 atoms:
Ta 0.000 0.000 0.000
Ru 0.500 0.500 0.239
Ru 0.500 0.500 0.761
Cl 0.000 0.000 0.500



A plane-wave DFT calculation with GGA-PBE was carried out for a relaxed structure of Ta2RuCl.

Calculated values
Its energy above the most stable polymorph in this dataset is 12.3 kJ/mol of atoms.

Lattice parameters (Å, degrees): 3.122 3.122 7.395 90.00 90.00 90.00
Fractional coordinates of all 4 atoms:
Ta 0.000 0.000 0.000
Ta 0.500 0.500 0.261
Ru 0.500 0.500 0.819
Cl 0.000 0.000 0.492



Number 1: raw total energy -7.641 eV/atom, formation energy from raw total energies 9.72 kcal/mol of atoms. Number 2: raw total energy -7.492 eV/atom, formation energy from raw total energies 13.15 kcal/mol of atoms. Number 3: raw total energy -7.811 eV/atom, formation energy from raw total energies 5.80 kcal/mol of atoms. Number 4: raw total energy -8.691 eV/atom, formation energy from raw total energies 0.37 kcal/mol of atoms.